An optimized crystal structure of SrScBePt2, computed with PBEsol.

```
SrScBePt2
1.0
4.373 0.000 0.000
0.000 4.373 0.000
0.000 0.000 4.838
Sr Sc Be Pt
1 1 1 2
direct
0.000 0.000 0.000
0.500 0.500 0.000
0.000 0.000 0.500
0.000 0.500 0.500
0.500 0.000 0.500
```

## Properties
* Fermi-level density of states: 0.952 states/eV per atom
* E: -26.64 eV/cell
* space group: P4/mmm
* calculated volume: 18.51 Å³/atom
* E_form: -53 meV/atom